## NaThPd2 (PBE)

Data for a relaxed structure of NaThPd2.

Unit cell a=4.9676 b=4.9676 c=4.9676 alpha=60.00 beta=60.00 gamma=60.00
Positions (direct):
Pd 0.2500 0.2500 0.2500
Pd 0.7500 0.7500 0.7500
Na 0.5000 0.5000 0.5000
Th 0.0000 0.0000 0.0000

Summary:
SG: Fm-3m (225)
energy relative to the elements: -0.447 eV per atom


## BeAg4Sb (PBE)

Data for a relaxed structure of BeAg4Sb.

Unit cell a=5.4936 b=5.4936 c=5.4936 alpha=60.00 beta=60.00 gamma=60.00
Positions (direct):
Ag 0.8734 0.3755 0.3755
Ag 0.3755 0.3755 0.3755
Ag 0.3755 0.3755 0.8734
Ag 0.3755 0.8734 0.3755
Sb 0.0000 0.0000 0.0000
Be 0.7500 0.7500 0.7500

Summary:
SG: F-43m (216)
energy relative to the elements, uncorrected: 436 meV/atom


Summary of Fermi-level density of states in states/eV/f.u.
3.66 3.38
(order as listed above)